(1)
First-principles (GGA-PBE) data for a geometry-optimized Sm4N3 structure, as listed in the Alexandria database.

* N(E_F): 2.92 states/eV per cell
* crystal system: cubic
* uncorrected energy: -52.38 eV for the cell shown
* total magnetic moment: 0.00 μB/cell
* calculated density: 8.21 g/cm³

Lattice parameters (Å, degrees): 5.067 5.067 5.067 90.00 90.00 90.00
Atoms (fractional coordinates):
Sm (0.000, 0.000, 0.000)
Sm (0.000, 0.500, 0.500)
Sm (0.500, 0.000, 0.500)
Sm (0.500, 0.500, 0.000)
N (0.000, 0.500, 0.000)
N (0.000, 0.000, 0.500)
N (0.500, 0.000, 0.000)

(2)
First-principles (GGA-PBE) data for a geometry-optimized NaLaZnAg structure, as listed in the Alexandria database.

* E_form: -0.1275 eV/atom
* N(E_F): 2.94 states/eV per cell
* crystal system: cubic
* uncorrected energy: -10.88 eV for the cell shown
* total magnetic moment: 0.00 μB/cell
* calculated density: 5.60 g/cm³

Lattice parameters (Å, degrees): 5.200 5.200 5.200 60.00 60.00 60.00
Atoms (fractional coordinates):
Na (0.500, 0.500, 0.500)
Zn (0.750, 0.750, 0.750)
Ag (0.250, 0.250, 0.250)
La (0.000, 0.000, 0.000)

(3)
First-principles (GGA-PBE) data for a geometry-optimized K2AlCd structure, as listed in the Alexandria database.

* E_form: 0.2761 eV/atom
* N(E_F): 3.51 states/eV per cell
* crystal system: orthorhombic
* energy relative to the lowest polymorph listed for this composition: 193 meV per atom
* uncorrected energy: -5.75 eV for the cell shown
* total magnetic moment: 0.00 μB/cell
* calculated density: 2.54 g/cm³

Lattice parameters (Å, degrees): 3.646 3.646 10.686 90.00 90.00 90.94
Atoms (fractional coordinates):
K (0.000, 0.000, 0.007)
K (0.000, 0.000, 0.493)
Al (0.500, 0.500, 0.250)
Cd (0.500, 0.500, 0.750)

(4)
First-principles (GGA-PBE) data for a geometry-optimized CeMnTl2Se4 structure, as listed in the Alexandria database.

* N(E_F): 7.10 states/eV per cell
* crystal system: orthorhombic
* uncorrected energy: -80.90 eV for the cell shown
* total magnetic moment: 10.04 μB/cell
* calculated density: 6.85 g/cm³

Lattice parameters (Å, degrees): 8.577 8.575 8.722 120.56 120.56 89.96
Atoms (fractional coordinates):
Ce (0.000, 0.500, 0.000)
Ce (0.000, 0.500, 0.500)
Mn (0.500, 0.500, 0.500)
Mn (0.000, 0.000, 0.000)
Tl (0.500, 0.000, 0.000)
Tl (0.500, 0.000, 0.500)
Tl (0.000, 0.000, 0.500)
Tl (0.500, 0.500, 0.000)
Se (0.206, 0.744, 0.975)
Se (0.756, 0.294, 0.525)
Se (0.244, 0.706, 0.475)
Se (0.794, 0.256, 0.025)
Se (0.762, 0.738, 0.955)
Se (0.761, 0.738, 0.545)
Se (0.238, 0.262, 0.455)
Se (0.238, 0.262, 0.045)

(5)
First-principles (GGA-PBE) data for a geometry-optimized Ag2AuS2 structure, as listed in the Alexandria database.

* N(E_F): 1.09 states/eV per cell
* crystal system: tetragonal
* energy relative to the lowest polymorph listed for this composition: 0 meV per atom
* uncorrected energy: -17.33 eV for the cell shown
* total magnetic moment: 0.00 μB/cell
* calculated density: 7.36 g/cm³

Lattice parameters (Å, degrees): 3.664 3.664 8.427 102.55 102.55 90.00
Atoms (fractional coordinates):
Ag (0.648, 0.648, 0.295)
Ag (0.352, 0.352, 0.705)
Au (0.000, 0.000, 0.000)
S (0.855, 0.855, 0.709)
S (0.145, 0.145, 0.291)

(6)
First-principles (GGA-PBE) data for a geometry-optimized AcBeNbN3 structure, as listed in the Alexandria database.

* N(E_F): 5.43 states/eV per cell
* crystal system: monoclinic
* uncorrected energy: -98.20 eV for the cell shown
* total magnetic moment: 0.00 μB/cell
* calculated density: 7.85 g/cm³

Lattice parameters (Å, degrees): 3.272 7.090 7.117 107.99 90.00 90.00
Atoms (fractional coordinates):
Ac (0.250, 0.202, 0.234)
Ac (0.750, 0.798, 0.766)
Be (0.250, 0.079, 0.606)
Be (0.750, 0.921, 0.394)
Nb (0.250, 0.664, 0.157)
Nb (0.750, 0.336, 0.843)
N (0.750, 0.877, 0.143)
N (0.250, 0.123, 0.857)
N (0.250, 0.834, 0.462)
N (0.750, 0.166, 0.538)
N (0.750, 0.457, 0.160)
N (0.250, 0.543, 0.840)

(7)
First-principles (GGA-PBE) data for a geometry-optimized Ti3ZnCr structure, as listed in the Alexandria database.

* E_form: 1.2533 eV/atom
* N(E_F): 11.30 states/eV per cell
* crystal system: cubic
* energy relative to the lowest polymorph listed for this composition: 686 meV per atom
* uncorrected energy: -28.32 eV for the cell shown
* total magnetic moment: 1.52 μB/cell
* calculated density: 4.49 g/cm³

Lattice parameters (Å, degrees): 4.586 4.586 4.586 90.00 90.00 90.00
Atoms (fractional coordinates):
Cr (0.500, 0.500, 0.500)
Zn (0.000, 0.000, 0.000)
Ti (0.000, 0.500, 0.000)
Ti (0.000, 0.000, 0.500)
Ti (0.500, 0.000, 0.000)

(8)
First-principles (GGA-PBE) data for a geometry-optimized Pm2Y5Tm2 structure, as listed in the Alexandria database.

* E_form: 0.2352 eV/atom
* N(E_F): 29.28 states/eV per cell
* crystal system: orthorhombic
* energy relative to the lowest polymorph listed for this composition: 213 meV per atom
* uncorrected energy: -97.30 eV for the cell shown
* total magnetic moment: 0.00 μB/cell
* calculated density: 5.98 g/cm³

Lattice parameters (Å, degrees): 11.767 6.780 10.091 109.63 125.66 90.00
Atoms (fractional coordinates):
Pm (0.000, 0.005, 0.000)
Pm (0.500, 0.505, 0.000)
Pm (0.261, 0.363, 0.500)
Pm (0.739, 0.863, 0.500)
Y (0.206, 0.653, 0.895)
Y (0.794, 0.758, 0.105)
Y (0.189, 0.153, 0.895)
Y (0.811, 0.258, 0.105)
Y (0.379, 0.038, 0.285)
Y (0.621, 0.753, 0.715)
Y (0.406, 0.538, 0.285)
Y (0.594, 0.253, 0.715)
Y (0.997, 0.647, 0.500)
Y (0.003, 0.147, 0.500)
Tm (0.122, 0.686, 0.254)
Tm (0.878, 0.432, 0.746)
Tm (0.632, 0.186, 0.254)
Tm (0.368, 0.932, 0.746)

(9)
First-principles (GGA-PBE) data for a geometry-optimized ScBe3Cd structure, as listed in the Alexandria database.

* E_form: 1.6341 eV/atom
* N(E_F): 5.39 states/eV per cell
* crystal system: cubic
* energy relative to the lowest polymorph listed for this composition: 908 meV per atom
* uncorrected energy: -10.25 eV for the cell shown
* total magnetic moment: 1.36 μB/cell
* calculated density: 2.82 g/cm³

Lattice parameters (Å, degrees): 4.772 4.772 4.772 90.00 90.00 90.00
Atoms (fractional coordinates):
Sc (0.000, 0.000, 0.000)
Be (0.000, 0.500, 0.000)
Be (0.000, 0.000, 0.500)
Be (0.500, 0.000, 0.000)
Cd (0.500, 0.500, 0.500)

(10)
First-principles (GGA-PBE) data for a geometry-optimized InTe2RhI structure, as listed in the Alexandria database.

* N(E_F): 7.50 states/eV per cell
* crystal system: tetragonal
* energy relative to the lowest polymorph listed for this composition: 0 meV per atom
* uncorrected energy: -17.46 eV for the cell shown
* total magnetic moment: 0.00 μB/cell
* calculated density: 6.33 g/cm³

Lattice parameters (Å, degrees): 5.237 5.237 5.738 90.00 90.00 90.00
Atoms (fractional coordinates):
I (0.000, 0.000, 0.500)
Te (0.000, 0.500, 0.000)
Te (0.500, 0.000, 0.000)
Rh (0.000, 0.000, 0.000)
In (0.500, 0.500, 0.500)

(11)
First-principles (GGA-PBE) data for a geometry-optimized CsGeSb2Te structure, as listed in the Alexandria database.

* N(E_F): 6.60 states/eV per cell
* crystal system: tetragonal
* energy relative to the lowest polymorph listed for this composition: 1417 meV per atom
* uncorrected energy: -9.06 eV for the cell shown
* total magnetic moment: 0.19 μB/cell
* calculated density: 4.02 g/cm³

Lattice parameters (Å, degrees): 6.157 6.157 6.280 90.00 90.00 90.00
Atoms (fractional coordinates):
Cs (0.000, 0.000, 0.000)
Sb (0.000, 0.500, 0.000)
Sb (0.500, 0.000, 0.000)
Ge (0.500, 0.500, 0.500)
Te (0.000, 0.000, 0.500)

(12)
First-principles (GGA-PBE) data for a geometry-optimized ScSeS4 structure, as listed in the Alexandria database.

* N(E_F): 1.27 states/eV per cell
* crystal system: triclinic
* uncorrected energy: -29.38 eV for the cell shown
* total magnetic moment: 0.00 μB/cell
* calculated density: 2.99 g/cm³

Lattice parameters (Å, degrees): 4.478 4.520 8.206 74.65 74.98 109.11
Atoms (fractional coordinates):
Sc (0.421, 0.426, 0.957)
Se (0.063, 0.068, 0.457)
S (0.037, 0.543, 0.796)
S (0.000, 0.456, 0.251)
S (0.422, 0.975, 0.251)
S (0.541, 0.041, 0.798)